Entry 1:
# SrPaO3 PBE-GGA optimized geometry
data_SrPaO3
_cell_length_a 6.1587
_cell_length_b 6.1587
_cell_length_c 15.8629
_cell_angle_alpha 90.00
_cell_angle_beta 90.00
_cell_angle_gamma 120.00
_space_group_name_H-M_alt 'R -3'
_space_group_IT_number 148
_space_group_name_Hall '-R 3'
loop_
_atom_site_label
_atom_site_type_symbol
_atom_site_fract_x
_atom_site_fract_y
_atom_site_fract_z
Sr1 Sr 0.0000 0.0000 0.1348
Pa1 Pa 0.0000 0.0000 0.3539
O1 O 0.0232 0.7245 0.2566
# Energy in eV per atom: -8.106
# Size of the total moment in μB/f.u.: 1.00

***

Entry 2:
# Sr3PaO6 PBE-GGA optimized geometry
data_Sr3PaO6
_cell_length_a 10.1494
_cell_length_b 10.1494
_cell_length_c 12.0769
_cell_angle_alpha 90.00
_cell_angle_beta 90.00
_cell_angle_gamma 120.00
_space_group_name_H-M_alt 'R -3'
_space_group_IT_number 148
_space_group_name_Hall '-R 3'
loop_
_atom_site_label
_atom_site_type_symbol
_atom_site_fract_x
_atom_site_fract_y
_atom_site_fract_z
Sr1 Sr 0.0363 0.2669 0.2127
Pa1 Pa 0.0000 0.0000 0.0000
Pa2 Pa 0.0000 0.0000 0.5000
O1 O 0.0251 0.1762 0.8851
O2 O 0.0275 0.1981 0.4085
# Energy in eV per atom: -7.184
# Size of the total moment in μB/f.u.: 1.00

***

Entry 3:
# Sr2Pa2O5 PBE-GGA optimized geometry
data_Sr2Pa2O5
_cell_length_a 4.476
_cell_length_b 4.476
_cell_length_c 8.764
_cell_angle_alpha 90.00
_cell_angle_beta 90.00
_cell_angle_gamma 90.00
_space_group_name_H-M_alt 'P 4/m m m'
_space_group_IT_number 123
_space_group_name_Hall '-P 4 2'
loop_
_atom_site_label
_atom_site_type_symbol
_atom_site_fract_x
_atom_site_fract_y
_atom_site_fract_z
Sr1 Sr 0.000 0.000 0.000
Sr2 Sr 0.000 0.000 0.500
Pa1 Pa 0.500 0.500 0.247
O1 O 0.000 0.500 0.271
O2 O 0.500 0.500 0.500
# Energy in eV per atom: -7.684
# ΔE to the lowest computed polymorph in meV per atom: 0
# Size of the total moment in μB/f.u.: 1.67